[1]
# ZrNbGa3

A crystal of ZrNbGa3 relaxed with PBEsol (SCAN, Alexandria).

abc: 4.7810 4.7810 4.7810
angles: 90.00 90.00 90.00
Last column: nearest neighbours and their distance in Å.
Space group Pm-3m (No. 221)
Asymmetric unit:
Zr (0.0000, 0.0000, 0.0000) [1 per cell]  12 Ga 3.38
Nb (0.5000, 0.5000, 0.5000) [1 per cell]  6 Ga 2.39
Ga (0.0000, 0.5000, 0.5000) [3 per cell]  2 Nb 2.39

As for the energy: -22.153 eV/atom. As for the crystal system: cubic. The density comes out at 5.976 Mg/m³. Its density of states at the Fermi level is 0.860 states/eV/atom. The size of the total moment is 0.00 μB per cell. As for the energy of formation from the pure elements: 0.4205 eV per atom.

=====

[2]
# Zr5Co4Ni

A crystal of Zr5Co4Ni relaxed with PBEsol (SCAN, Alexandria).

abc: 3.1385 3.1385 15.7093
angles: 90.00 90.00 90.00
Last column: nearest neighbours and their distance in Å.
Space group P4/mmm (No. 123)
Asymmetric unit:
Zr (0.0000, 0.0000, 0.0000) [1 per cell]  8 Co 2.71
Zr (0.0000, 0.0000, 0.1985) [2 per cell]  8 Co 2.70-2.72
Zr (0.0000, 0.0000, 0.3973) [2 per cell]  4 Co 2.73, 4 Ni 2.74
Co (0.5000, 0.5000, 0.0986) [2 per cell]  8 Zr 2.71-2.72
Co (0.5000, 0.5000, 0.2963) [2 per cell]  8 Zr 2.70-2.73
Ni (0.5000, 0.5000, 0.5000) [1 per cell]  8 Zr 2.74

As for the energy: -24.265 eV/atom. As for the crystal system: tetragonal. The density comes out at 8.054 Mg/m³. Its density of states at the Fermi level is 0.755 states/eV/atom. The size of the total moment is 3.83 μB per cell. As for the energy of formation from the pure elements: -0.3762 eV per atom.

=====

[3]
# Ti2IrWO

A crystal of Ti2IrWO relaxed with PBEsol (SCAN, Alexandria).

abc: 4.7755 4.7755 4.5596
angles: 90.00 90.00 90.00
Last column: nearest neighbours and their distance in Å.
Space group P4/mmm (No. 123)
Asymmetric unit:
Ti (0.0000, 0.5000, 0.0000) [2 per cell]  2 W 2.39
Ir (0.0000, 0.0000, 0.5000) [1 per cell]  2 W 2.28
W (0.0000, 0.0000, 0.0000) [1 per cell]  2 Ir 2.28, 4 Ti 2.39
O (0.5000, 0.5000, 0.5000) [1 per cell]  8 Ti 3.30, 4 Ir 3.38

The uncorrected formation energy comes out at 1.440 eV/atom. As for the energy: -34.375 eV/atom. As for the crystal system: tetragonal. The density comes out at 7.790 Mg/m³. Its density of states at the Fermi level is 1.109 states/eV/atom. The size of the total moment is 1.38 μB per cell.

=====

[4]
# CeCrS3

A crystal of CeCrS3 relaxed with PBEsol (SCAN, Alexandria).

abc: 7.6119 3.7083 12.6808
angles: 90.00 90.00 90.00
Last column: nearest neighbours and their distance in Å.
Space group Pnma (No. 62)
Asymmetric unit:
Ce (0.0892, 0.2500, 0.1725) [4 per cell]  9 S 2.87-3.12
Cr (0.1637, 0.7500, 0.4468) [4 per cell]  6 S 2.33-2.41
S (0.0147, 0.7500, 0.6078) [4 per cell]  3 Cr 2.33-2.40
S (0.1603, 0.7500, 0.0055) [4 per cell]  2 Cr 2.41
S (0.1902, 0.2500, 0.7843) [4 per cell]  1 Cr 2.34

The uncorrected formation energy comes out at -1.730 eV/atom. As for the energy: -20.097 eV/atom. As for the crystal system: orthorhombic. The density comes out at 5.350 Mg/m³. Its density of states at the Fermi level is 0.263 states/eV/atom. The size of the total moment is 15.54 μB per cell.

=====

[5]
# KMgCr

A crystal of KMgCr relaxed with PBEsol (SCAN, Alexandria).

abc: 3.6921 3.6921 13.2378
angles: 90.00 90.00 90.00
Last column: nearest neighbours and their distance in Å.
Space group I4mm (No. 107)
Asymmetric unit:
K (0.0000, 0.0000, 0.0000) [2 per cell]  4 K 3.69, 5 Cr 3.70-4.00, 5 Mg 3.78-3.86
Mg (0.0000, 0.0000, 0.7143) [2 per cell]  4 Cr 2.86
Cr (0.0000, 0.0000, 0.3022) [2 per cell]  4 Mg 2.86

As for the energy: -10.067 eV/atom. The relative energy among the computed polymorphs is 0 meV per atom. As for the crystal system: tetragonal. The density comes out at 2.124 Mg/m³. Its density of states at the Fermi level is 0.462 states/eV/atom. The size of the total moment is 9.71 μB per cell. As for the energy of formation from the pure elements: 0.4956 eV per atom.

=====

[6]
# Li3ReH

A crystal of Li3ReH relaxed with PBEsol (SCAN, Alexandria).

abc: 3.7453 3.7453 3.7453
angles: 90.00 90.00 90.00
Last column: nearest neighbours and their distance in Å.
Space group Pm-3m (No. 221)
Asymmetric unit:
Li (0.0000, 0.0000, 0.5000) [3 per cell]  2 H 1.87
Re (0.5000, 0.5000, 0.5000) [1 per cell]  12 Li 2.65
H (0.0000, 0.0000, 0.0000) [1 per cell]  6 Li 1.87

As for the energy: -15.562 eV/atom. As for the crystal system: cubic. The density comes out at 6.576 Mg/m³. Its density of states at the Fermi level is 0.661 states/eV/atom. The size of the total moment is 0.00 μB per cell.

=====

Q: Look up the density of states at the Fermi level of the sixth one.
A: 0.661 states/eV/atom

=====

Q: Look up the density of states at the Fermi level of the second one.
A: 0.755 states/eV/atom